DFT (PBE-GGA) results for crystalline DyTiPd2 at its relaxed geometry.

Structure (extended XYZ):
```
4
Lattice="-0.2673 3.1438 -0.7135 -1.3223 0.5461 2.9013 6.4691 1.1692 2.7283" Properties=species:S:1:pos:R:3 pbc="T T T"
Pd 1.3306 0.2405 0.5612
Pd 5.1384 0.9287 2.1671
Dy 2.4397 2.4295 2.4580
Ti -0.7948 1.8449 1.0939
```

Values from the calculation:
The offset from the most stable computed form comes out at 0 meV per atom. The symmetry is No. 123. The value obtained for the calculated formation energy is -643 meV per atom. The value obtained for the total energy is -6.3633 eV per atom.